1.
Material: HoEr4Co
Method: DFT, PBE
State: optimized geometry

Unit cell a=6.160 b=6.160 c=8.215 alpha=109.87 beta=109.87 gamma=33.22
Atoms (fractional coordinates):
Ho 0.000 0.000 0.000
Er 0.331 0.331 0.208
Er 0.373 0.373 0.623
Er 0.627 0.627 0.377
Er 0.669 0.669 0.792
Co 0.000 0.000 0.500

electronic total energy = -5.0389 eV/atom
formation energy from the elements = -0.050 eV/atom
symmetry = C2/m



2.
Material: HoErInCo
Method: DFT, PBE
State: optimized geometry

Unit cell a=5.049 b=5.049 c=5.049 alpha=60.00 beta=60.00 gamma=60.00
Atoms (fractional coordinates):
Ho 0.000 0.000 0.000
Er 0.500 0.500 0.500
In 0.250 0.250 0.250
Co 0.750 0.750 0.750

E above lowest polymorph = 47 kJ/mol of formula units
electronic total energy = -4.9574 eV/atom
formation energy from the elements = -0.211 eV/atom
symmetry = F-43m



3.
Material: HoErInCo
Method: DFT, PBE
State: optimized geometry

Unit cell a=3.343 b=3.343 c=7.960 alpha=90.00 beta=90.00 gamma=90.00
Atoms (fractional coordinates):
Ho 0.000 0.000 0.000
Er 0.000 0.000 0.589
In 0.500 0.500 0.295
Co 0.500 0.500 0.793

E above lowest polymorph = 0 kJ/mol of formula units
electronic total energy = -5.0796 eV/atom
formation energy from the elements = -0.333 eV/atom
symmetry = P4mm



4.
Material: HoErMgCo
Method: DFT, PBE
State: optimized geometry

Unit cell a=3.373 b=3.373 c=8.038 alpha=90.00 beta=90.00 gamma=90.00
Atoms (fractional coordinates):
Ho 0.000 0.000 0.000
Er 0.000 0.000 0.599
Mg 0.500 0.500 0.301
Co 0.500 0.500 0.798

E above lowest polymorph = 0 kJ/mol of formula units
electronic total energy = -4.6181 eV/atom
formation energy from the elements = -0.158 eV/atom
symmetry = P4mm



5.
Material: HoErMgCo
Method: DFT, PBE
State: optimized geometry

Unit cell a=4.984 b=4.984 c=4.984 alpha=60.00 beta=60.00 gamma=60.00
Atoms (fractional coordinates):
Ho 0.000 0.000 0.000
Er 0.500 0.500 0.500
Mg 0.750 0.750 0.750
Co 0.250 0.250 0.250

E above lowest polymorph = 52 kJ/mol of formula units
electronic total energy = -4.4837 eV/atom
formation energy from the elements = -0.023 eV/atom
symmetry = F-43m



6.
Material: HoErCoNi
Method: DFT, PBE
State: optimized geometry

Unit cell a=4.709 b=4.709 c=4.709 alpha=60.00 beta=60.00 gamma=60.00
Atoms (fractional coordinates):
Ho 0.000 0.000 0.000
Er 0.500 0.500 0.500
Co 0.250 0.250 0.250
Ni 0.750 0.750 0.750

E above lowest polymorph = 17 kJ/mol of formula units
electronic total energy = -5.8044 eV/atom
formation energy from the elements = -0.297 eV/atom
symmetry = F-43m



7.
Material: HoErCoNi
Method: DFT, PBE
State: optimized geometry

Unit cell a=3.941 b=5.512 c=5.512 alpha=40.37 beta=90.00 gamma=90.00
Atoms (fractional coordinates):
Ho 0.000 0.000 0.000
Er 0.500 0.716 0.716
Co 0.000 0.287 0.287
Ni 0.500 0.425 0.425

E above lowest polymorph = 0 kJ/mol of formula units
electronic total energy = -5.8482 eV/atom
formation energy from the elements = -0.341 eV/atom
symmetry = Amm2



8.
Material: HoErCoOs
Method: DFT, PBE
State: optimized geometry

Unit cell a=4.744 b=4.744 c=4.744 alpha=60.00 beta=60.00 gamma=60.00
Atoms (fractional coordinates):
Ho 0.000 0.000 0.000
Er 0.500 0.500 0.500
Co 0.250 0.250 0.250
Os 0.750 0.750 0.750

electronic total energy = -7.0372 eV/atom
formation energy from the elements = -0.168 eV/atom
symmetry = F-43m



9.
Material: HoEr2PaCo2
Method: DFT, PBE
State: optimized geometry

Unit cell a=7.874 b=7.874 c=7.874 alpha=128.90 beta=74.49 gamma=129.75
Atoms (fractional coordinates):
Ho 0.250 0.250 0.000
Ho 0.750 0.750 0.000
Er 0.202 0.700 0.902
Er 0.298 0.200 0.499
Er 0.702 0.800 0.501
Er 0.798 0.300 0.098
Pa 0.250 0.750 0.500
Pa 0.750 0.250 0.500
Co 0.091 0.294 0.385
Co 0.409 0.794 0.203
Co 0.591 0.206 0.797
Co 0.909 0.706 0.615

electronic total energy = -6.4236 eV/atom
formation energy from the elements = -0.188 eV/atom
symmetry = Ibam



10.
Material: Ho2ErPa2Co5
Method: DFT, PBE
State: optimized geometry

Unit cell a=10.459 b=10.459 c=3.444 alpha=90.00 beta=90.00 gamma=90.00
Atoms (fractional coordinates):
Ho 0.170 0.330 0.000
Ho 0.330 0.830 0.000
Ho 0.670 0.170 0.000
Ho 0.830 0.670 0.000
Er 0.000 0.000 0.000
Er 0.500 0.500 0.000
Pa 0.136 0.636 0.000
Pa 0.364 0.136 0.000
Pa 0.636 0.864 0.000
Pa 0.864 0.364 0.000
Co 0.000 0.500 0.500
Co 0.039 0.777 0.500
Co 0.223 0.039 0.500
Co 0.277 0.539 0.500
Co 0.461 0.277 0.500
Co 0.500 0.000 0.500
Co 0.539 0.723 0.500
Co 0.723 0.461 0.500
Co 0.777 0.961 0.500
Co 0.961 0.223 0.500

electronic total energy = -6.9754 eV/atom
formation energy from the elements = -0.151 eV/atom
symmetry = P4/mbm



11.
Material: HoErZnCo
Method: DFT, PBE
State: optimized geometry

Unit cell a=4.834 b=4.834 c=4.834 alpha=60.00 beta=60.00 gamma=60.00
Atoms (fractional coordinates):
Ho 0.000 0.000 0.000
Er 0.500 0.500 0.500
Zn 0.750 0.750 0.750
Co 0.250 0.250 0.250

E above lowest polymorph = 12 kJ/mol of formula units
electronic total energy = -4.6321 eV/atom
formation energy from the elements = -0.252 eV/atom
symmetry = F-43m



12.
Material: HoErZnCo
Method: DFT, PBE
State: optimized geometry

Unit cell a=3.377 b=3.377 c=7.139 alpha=90.00 beta=90.00 gamma=90.00
Atoms (fractional coordinates):
Ho 0.000 0.000 0.000
Er 0.000 0.000 0.546
Zn 0.500 0.500 0.275
Co 0.500 0.500 0.771

E above lowest polymorph = 0 kJ/mol of formula units
electronic total energy = -4.6623 eV/atom
formation energy from the elements = -0.282 eV/atom
symmetry = P4mm